ScTlPdSe3 | OQMD via LeMat-Bulk | PBE-GGA | relaxed; space-group type = Cmcm (63); energy above the lowest structure with this stoichiometry = 0 meV/atom
1.0
1.939 -7.487 0.000
1.939 7.487 0.000
0.000 0.000 10.075
Sc Tl Pd Se
2 2 2 6
direct
0.000 0.000 0.000
0.000 0.000 0.500
0.238 0.762 0.750
0.762 0.238 0.250
0.477 0.523 0.250
0.523 0.477 0.750
0.082 0.918 0.250
0.375 0.625 0.051
0.375 0.625 0.449
0.625 0.375 0.551
0.625 0.375 0.949
0.918 0.082 0.750

RbCoCl3 | OQMD via LeMat-Bulk | PBE-GGA | relaxed; space-group type = P2_1/m (11); raw total energy = -76.3 eV/cell
1.0
8.957 0.000 0.000
0.000 3.828 0.000
-0.010 0.000 14.580
Rb Co Cl
4 4 12
direct
0.055 0.250 0.172
0.445 0.750 0.672
0.555 0.250 0.328
0.945 0.750 0.828
0.156 0.750 0.451
0.345 0.250 0.951
0.655 0.750 0.049
0.844 0.250 0.549
0.019 0.750 0.593
0.191 0.750 0.003
0.240 0.250 0.803
0.260 0.750 0.303
0.309 0.250 0.503
0.481 0.250 0.093
0.519 0.750 0.907
0.691 0.750 0.497
0.740 0.250 0.697
0.760 0.750 0.197
0.809 0.250 0.997
0.981 0.250 0.407

Nb2H5 | OQMD via LeMat-Bulk | PBE-GGA | relaxed; space-group type = I4/m (87); energy above the lowest structure with this stoichiometry = 0 meV/atom
1.0
-3.430 3.430 2.329
3.430 -3.430 2.329
3.430 3.430 -2.329
Nb H
4 10
direct
0.100 0.705 0.806
0.295 0.100 0.395
0.705 0.900 0.605
0.900 0.295 0.194
0.078 0.361 0.907
0.171 0.078 0.717
0.250 0.750 0.500
0.361 0.454 0.283
0.454 0.171 0.093
0.546 0.829 0.907
0.639 0.546 0.717
0.750 0.250 0.500
0.829 0.922 0.283
0.922 0.639 0.093